[1]
A crystal of Ir2AuCl relaxed with PBEsol, computed with meta-GGA SCAN.

## Properties
ΔE_f (raw): 1193 meV per atom
Energy above the lowest structure with this stoichiometry: 0.179 eV/atom
D(E_F): 5.9 states/eV per cell
Final energy: -53.640 eV/atom
Calculated volume: 15.3 A^3/atom

Unit cell a=2.7609 b=4.8094 c=4.8094 alpha=106.31 beta=90.00 gamma=90.00
Atoms (fractional coordinates):
Ir 0.0000 0.5000 0.0000
Ir 0.0000 0.0000 0.5000
Au 0.5000 0.0000 0.0000
Cl 0.5000 0.5000 0.5000

[2]
A crystal of Cu3ReAs relaxed with PBEsol, computed with meta-GGA SCAN.

## Properties
D(E_F): 4.6 states/eV per cell
Energy relative to the elements: 1.681 eV/atom
Final energy: -25.696 eV/atom
Calculated volume: 19.0 A^3/atom

Unit cell a=4.5645 b=4.5645 c=4.5645 alpha=90.00 beta=90.00 gamma=90.00
Atoms (fractional coordinates):
Re 0.0000 0.0000 0.0000
As 0.5000 0.5000 0.5000
Cu 0.0000 0.5000 0.0000
Cu 0.0000 0.0000 0.5000
Cu 0.5000 0.0000 0.0000

[3]
A crystal of AsIrOs2 relaxed with PBEsol, computed with meta-GGA SCAN.

## Properties
D(E_F): 2.4 states/eV per cell
Energy relative to the elements: 0.301 eV/atom
Final energy: -58.461 eV/atom
Calculated volume: 14.5 A^3/atom

Unit cell a=2.8120 b=4.5126 c=4.7905 alpha=92.49 beta=107.07 gamma=90.00
Atoms (fractional coordinates):
As 0.5002 0.4978 0.0005
Ir 0.7288 0.2461 0.4576
Os 0.9987 0.9888 0.9974
Os 0.2722 0.7673 0.5445

[4]
A crystal of BeSb2Rh relaxed with PBEsol, computed with meta-GGA SCAN.

## Properties
ΔE_f (raw): 552 meV per atom
D(E_F): 2.7 states/eV per cell
Final energy: -27.610 eV/atom
Calculated volume: 18.2 A^3/atom

Unit cell a=4.6878 b=4.6878 c=4.6878 alpha=60.00 beta=60.00 gamma=60.00
Atoms (fractional coordinates):
Sb 0.0000 0.0000 0.0000
Sb 0.7500 0.7500 0.7500
Rh 0.2500 0.2500 0.2500
Be 0.5000 0.5000 0.5000

[5]
A crystal of InOsAu2N relaxed with PBEsol, computed with meta-GGA SCAN.

## Properties
ΔE_f (raw): 1748 meV per atom
D(E_F): 3.0 states/eV per cell
Final energy: -48.827 eV/atom
Calculated volume: 25.4 A^3/atom

Unit cell a=4.9505 b=4.9505 c=5.1733 alpha=90.00 beta=90.00 gamma=90.00
Each line ends with the local moment (μB).
Atoms (fractional coordinates):
Os 0.0000 0.0000 0.0000  1.03
N 0.5000 0.5000 0.5000  1.86
Au 0.0000 0.5000 0.0000  0.24
Au 0.5000 0.0000 0.0000  0.24
In 0.0000 0.0000 0.5000  0.00

[6]
A crystal of Dy3Lu relaxed with PBEsol, computed with meta-GGA SCAN.

## Properties
Energy above the lowest structure with this stoichiometry: 0.000 eV/atom
D(E_F): 12.6 states/eV per cell
Energy relative to the elements: 0.005 eV/atom
Final energy: -49.679 eV/atom
Calculated volume: 29.3 A^3/atom

Unit cell a=5.4840 b=7.0280 c=7.0280 alpha=120.00 beta=90.00 gamma=90.00
Each line ends with the local moment (μB).
Atoms (fractional coordinates):
Lu 0.2500 0.6667 0.3333  0.09
Lu 0.7500 0.3333 0.6667  0.09
Dy 0.7500 0.8329 0.1671  0.10
Dy 0.7500 0.8329 0.6658  0.10
Dy 0.7500 0.3342 0.1671  0.10
Dy 0.2500 0.1671 0.8329  0.10
Dy 0.2500 0.1671 0.3342  0.10
Dy 0.2500 0.6658 0.8329  0.10

[7]
A crystal of LiMgAg2 relaxed with PBEsol, computed with meta-GGA SCAN.

## Properties
D(E_F): 1.2 states/eV per cell
Energy relative to the elements: -0.233 eV/atom
Final energy: -17.758 eV/atom
Calculated volume: 16.5 A^3/atom

Unit cell a=4.0235 b=4.0286 c=4.9731 alpha=113.89 beta=113.86 gamma=90.00
Atoms (fractional coordinates):
Mg 0.2499 0.7499 0.4998
Ag 0.0001 0.0001 0.0002
Ag 0.7502 0.2502 0.5003
Li 0.4998 0.4998 0.9996

[8]
A crystal of Mn3TlTc relaxed with PBEsol, computed with meta-GGA SCAN.

## Properties
D(E_F): 3.1 states/eV per cell
Energy relative to the elements: 1.528 eV/atom
Final energy: -30.908 eV/atom
Calculated volume: 23.0 A^3/atom

Unit cell a=4.8634 b=4.8634 c=4.8634 alpha=90.00 beta=90.00 gamma=90.00
Each line ends with the local moment (μB).
Atoms (fractional coordinates):
Tl 0.0000 0.0000 0.0000  -0.01
Mn 0.0000 0.5000 0.0000  4.14
Mn 0.0000 0.0000 0.5000  4.14
Mn 0.5000 0.0000 0.0000  4.14
Tc 0.5000 0.5000 0.5000  3.62

Copy entry 8 word for word.
A crystal of Mn3TlTc relaxed with PBEsol, computed with meta-GGA SCAN.

## Properties
D(E_F): 3.1 states/eV per cell
Energy relative to the elements: 1.528 eV/atom
Final energy: -30.908 eV/atom
Calculated volume: 23.0 A^3/atom

Unit cell a=4.8634 b=4.8634 c=4.8634 alpha=90.00 beta=90.00 gamma=90.00
Each line ends with the local moment (μB).
Atoms (fractional coordinates):
Tl 0.0000 0.0000 0.0000  -0.01
Mn 0.0000 0.5000 0.0000  4.14
Mn 0.0000 0.0000 0.5000  4.14
Mn 0.5000 0.0000 0.0000  4.14
Tc 0.5000 0.5000 0.5000  3.62

Which of these has the lowest calculated volume? AsIrOs2

What is the D(E_F) in the seventh record? 1.2 states/eV per cell